Density functional theory data (PBE) for crystalline Tb3Pr3DyTe8 at its relaxed geometry.

Unit cell a=8.8351 b=8.8351 c=8.8945 alpha=119.78 beta=90.00 gamma=120.00
Atoms (fractional coordinates):
1 Te 0.7487 0.0082 0.2569
2 Te 0.2541 0.5082 0.2622
3 Te 0.7459 0.4918 0.7378
4 Te 0.7405 0.9918 0.7431
5 Te 0.7487 0.4974 0.2569
6 Te 0.2513 0.9918 0.7431
7 Te 0.2595 0.0082 0.2569
8 Te 0.2513 0.5026 0.7431
9 Pr 0.0000 0.0000 0.0000
10 Pr 0.0000 0.5000 0.0000
11 Pr 0.5000 0.5000 0.0000
12 Tb 0.5000 0.0000 0.5000
13 Tb 0.5000 0.5000 0.5000
14 Tb 0.0000 0.5000 0.5000
15 Dy 0.0000 0.0000 0.5000

Calculated values
Its total energy is -5.286 eV per atom. The uncorrected formation energy is -1.42 eV per atom. The density is 7.02 g/cm³. Its density of states at the Fermi level is 0.4691 states/eV per atom.


Density functional theory data (PBE) for crystalline Tb3PrDy2Te6 at its relaxed geometry.

Unit cell a=4.3637 b=8.8435 c=9.8049 alpha=102.43 beta=102.86 gamma=90.00
Atoms (fractional coordinates):
1 Te 0.3318 0.4167 0.6635
2 Te 0.9978 0.7400 0.9957
3 Te 0.3276 0.9122 0.6552
4 Te 0.0022 0.2600 0.0043
5 Te 0.6682 0.5833 0.3365
6 Te 0.6724 0.0878 0.3448
7 Dy 0.1643 0.3302 0.3285
8 Dy 0.8357 0.6698 0.6715
9 Tb 0.1607 0.8336 0.3214
10 Tb 0.8393 0.1664 0.6786
11 Tb 0.5000 0.5000 0.0000
12 Pr 0.5000 0.0000 0.0000

Calculated values
Its total energy is -5.215 eV per atom. The uncorrected formation energy is -1.32 eV per atom. The density is 7.88 g/cm³. Its density of states at the Fermi level is 0.5601 states/eV per atom.


Density functional theory data (PBE) for crystalline Tb2PrDy3Te6 at its relaxed geometry.

Unit cell a=4.3584 b=8.8427 c=9.8144 alpha=102.95 beta=102.83 gamma=90.00
Atoms (fractional coordinates):
1 Te 0.6723 0.0847 0.3446
2 Te 0.0010 0.2604 0.0019
3 Te 0.9990 0.7396 0.9981
4 Te 0.3326 0.4157 0.6652
5 Te 0.6674 0.5843 0.3348
6 Te 0.3277 0.9153 0.6554
7 Tb 0.1644 0.3296 0.3288
8 Tb 0.8356 0.6704 0.6712
9 Dy 0.8382 0.1673 0.6765
10 Dy 0.1618 0.8327 0.3235
11 Dy 0.5000 0.5000 0.0000
12 Pr 0.5000 0.0000 0.0000

Calculated values
Its total energy is -5.208 eV per atom. The uncorrected formation energy is -1.32 eV per atom. The density is 7.92 g/cm³. Its density of states at the Fermi level is 0.5488 states/eV per atom.


Density functional theory data (PBE) for crystalline Tb2PrDyTe6 at its relaxed geometry.

Unit cell a=7.7981 b=7.7980 c=8.3894 alpha=62.31 beta=62.31 gamma=60.00
Atoms (fractional coordinates):
1 Te 0.4009 0.7301 0.7514
2 Te 0.9159 0.6024 0.2470
3 Te 0.7301 0.1176 0.7514
4 Te 0.1176 0.4009 0.7513
5 Te 0.2347 0.9159 0.2470
6 Te 0.6024 0.2347 0.2470
7 Tb 0.0080 0.0080 0.9760
8 Tb 0.5104 0.5104 0.4687
9 Dy 0.3225 0.3225 0.0326
10 Pr 0.8191 0.8191 0.5427

Calculated values
Its total energy is -5.118 eV per atom. The uncorrected formation energy is -1.37 eV per atom. The density is 6.18 g/cm³.


Density functional theory data (PBE) for crystalline TbPr6Dy2Th at its relaxed geometry.

Unit cell a=9.8941 b=8.9105 c=8.9105 alpha=116.34 beta=94.63 gamma=94.63
Atoms (fractional coordinates):
1 Pr 0.8124 0.4249 0.9902
2 Pr 0.1876 0.5751 0.0098
3 Pr 0.0566 0.1075 0.7563
4 Pr 0.6195 0.4907 0.6998
5 Pr 0.5566 0.7563 0.1075
6 Pr 0.3124 0.9902 0.4249
7 Pr 0.3805 0.5093 0.3002
8 Pr 0.9434 0.8925 0.2437
9 Pr 0.6876 0.0098 0.5751
10 Pr 0.1195 0.6998 0.4907
11 Pr 0.4434 0.2437 0.8925
12 Pr 0.8805 0.3002 0.5093
13 Tb 0.2500 0.4070 0.5930
14 Tb 0.7500 0.5930 0.4070
15 Dy 0.0499 0.2862 0.1971
16 Dy 0.4501 0.8029 0.7138
17 Dy 0.9501 0.7138 0.8029
18 Dy 0.5499 0.1971 0.2862
19 Th 0.7500 0.0272 0.9728
20 Th 0.2500 0.9728 0.0272

Calculated values
The calculation puts the calculated formation energy at 0.14 eV per atom. Its total energy is -4.852 eV per atom. The density is 7.45 g/cm³. Its density of states at the Fermi level is 1.4378 states/eV per atom.


Density functional theory data (PBE) for crystalline TbPr2DyTh at its relaxed geometry.

Unit cell a=8.5169 b=6.3608 c=6.6228 alpha=102.81 beta=90.00 gamma=90.00
Atoms (fractional coordinates):
1 Pr 0.3262 0.7180 0.1592
2 Pr 0.6738 0.2820 0.8408
3 Pr 0.6738 0.7180 0.6592
4 Pr 0.3262 0.2820 0.3408
5 Dy 0.0880 0.5000 0.7500
6 Dy 0.9120 0.5000 0.2500
7 Tb 0.6641 0.0000 0.2500
8 Tb 0.3359 0.0000 0.7500
9 Th 0.0000 0.0000 0.0000
10 Th 0.0000 0.0000 0.5000

Calculated values
The calculation puts the calculated formation energy at 0.25 eV per atom. Its total energy is -4.997 eV per atom. The density is 7.93 g/cm³. Its density of states at the Fermi level is 1.7305 states/eV per atom.


Density functional theory data (PBE) for crystalline Tb3Pr2Dy6Th at its relaxed geometry.

Unit cell a=6.2117 b=6.2117 c=11.8142 alpha=95.02 beta=95.02 gamma=119.95
Atoms (fractional coordinates):
1 Pr 0.6666 0.3334 0.0000
2 Pr 0.3334 0.6666 0.0000
3 Tb 0.5000 0.5000 0.5000
4 Tb 0.8330 0.1670 0.5000
5 Tb 0.1670 0.8330 0.5000
6 Th 0.0000 0.0000 0.0000
7 Dy 0.7555 0.7555 0.2514
8 Dy 0.9155 0.5863 0.7487
9 Dy 0.0845 0.4137 0.2513
10 Dy 0.5863 0.9155 0.7487
11 Dy 0.2445 0.2445 0.7486
12 Dy 0.4137 0.0845 0.2513

Calculated values
The calculation puts the calculated formation energy at 0.03 eV per atom. Its total energy is -4.843 eV per atom. The density is 8.39 g/cm³. Its density of states at the Fermi level is 1.2978 states/eV per atom.


Density functional theory data (PBE) for crystalline Tb5Pr2DyTh at its relaxed geometry.

Unit cell a=5.6565 b=10.4242 c=10.7767 alpha=90.00 beta=90.00 gamma=105.74
Atoms (fractional coordinates):
1 Th 0.4159 0.8319 0.4550
2 Th 0.5841 0.1681 0.9550
3 Tb 0.5211 0.0423 0.2378
4 Tb 0.2992 0.5984 0.7069
5 Tb 0.7008 0.4016 0.2069
6 Tb 0.0158 0.0317 0.0253
7 Tb 0.6087 0.2174 0.5227
8 Tb 0.9842 0.9683 0.5253
9 Tb 0.2800 0.5599 0.3145
10 Tb 0.3913 0.7826 0.0227
11 Tb 0.4789 0.9577 0.7378
12 Tb 0.7200 0.4401 0.8145
13 Dy 0.2003 0.4006 0.0094
14 Dy 0.7997 0.5994 0.5094
15 Pr 0.1157 0.2313 0.3194
16 Pr 0.8843 0.7687 0.8194
17 Pr 0.8844 0.7688 0.2330
18 Pr 0.1156 0.2312 0.7330

Calculated values
The calculation puts the calculated formation energy at 0.16 eV per atom. Its total energy is -4.805 eV per atom. The density is 7.99 g/cm³. Its density of states at the Fermi level is 1.5192 states/eV per atom.


What did the second record say?
Density functional theory data (PBE) for crystalline Tb3PrDy2Te6 at its relaxed geometry.

Unit cell a=4.3637 b=8.8435 c=9.8049 alpha=102.43 beta=102.86 gamma=90.00
Atoms (fractional coordinates):
1 Te 0.3318 0.4167 0.6635
2 Te 0.9978 0.7400 0.9957
3 Te 0.3276 0.9122 0.6552
4 Te 0.0022 0.2600 0.0043
5 Te 0.6682 0.5833 0.3365
6 Te 0.6724 0.0878 0.3448
7 Dy 0.1643 0.3302 0.3285
8 Dy 0.8357 0.6698 0.6715
9 Tb 0.1607 0.8336 0.3214
10 Tb 0.8393 0.1664 0.6786
11 Tb 0.5000 0.5000 0.0000
12 Pr 0.5000 0.0000 0.0000

Calculated values
Its total energy is -5.215 eV per atom. The uncorrected formation energy is -1.32 eV per atom. The density is 7.88 g/cm³. Its density of states at the Fermi level is 0.5601 states/eV per atom.


> The lowest density belongs to which entry?

Tb2PrDyTe6